Model w:
Below is an optimized crystal structure of As5Rh4, with properties calculated at the GGA-PBE level.

```
As5Rh4
1.0
-1.6958 7.1489 2.6208
-4.4678 -3.3100 -5.4711
-3.1486 -2.1711 3.8847
As Rh
10 8
Direct
0.3333 0.6667 0.0000
0.7144 0.0000 0.2500
0.2856 0.0000 0.7500
0.6667 0.3333 0.0000
0.7144 0.7144 0.7500
0.0000 0.7144 0.2500
0.0000 0.2856 0.7500
0.6667 0.3333 0.5000
0.2856 0.2856 0.2500
0.3333 0.6667 0.5000
0.0000 0.3788 0.2500
0.0000 0.0000 0.5000
0.3788 0.0000 0.2500
0.0000 0.6212 0.7500
0.3788 0.3788 0.7500
0.6212 0.6212 0.2500
0.0000 0.0000 0.0000
0.6212 0.0000 0.7500
```

* DOS(E_F): 13.7 states/eV/cell



Model x:
Below is an optimized crystal structure of As5Rh4, with properties calculated at the GGA-PBE level.

```
As5Rh4
1.0
5.6295 -2.1646 0.9116
-5.1849 -0.1991 3.2070
-1.6398 -3.5944 -4.6475
As Rh
5 4
Direct
0.6785 0.3215 0.0000
0.3215 0.6785 0.0000
0.6785 0.6785 0.3571
0.0000 0.0000 0.0000
0.3215 0.3215 0.6429
0.0000 0.3038 0.3038
0.3038 0.0000 0.3038
0.6962 0.0000 0.6962
0.0000 0.6962 0.6962
```

* DOS(E_F): 4.9 states/eV/cell



Energies relative to the most stable structure are model w 0; model x 160, reported in meV/atom.



Model w:
Below is an optimized crystal structure of AsRuRh, with properties calculated at the GGA-PBE level.

```
AsRuRh
1.0
-0.5324 -0.3205 5.4593
-0.9793 -3.6682 -0.3108
8.4192 -2.1290 -1.3993
Ru As Rh
4 4 4
Direct
0.2970 0.0000 0.0907
0.2970 0.5000 0.5907
0.8507 0.0000 0.1765
0.8507 0.5000 0.6765
0.0426 0.5000 0.9685
0.6206 0.5000 0.2440
0.6206 0.0000 0.7440
0.0426 0.0000 0.4685
0.5834 0.0000 0.4455
0.2104 0.5000 0.2905
0.5834 0.5000 0.9455
0.2104 0.0000 0.7905
```

* DOS(E_F): 9.7 states/eV/cell



Model x:
Below is an optimized crystal structure of AsRuRh, with properties calculated at the GGA-PBE level.

```
AsRuRh
1.0
-2.4466 -3.3145 0.5983
4.0335 -0.1800 1.0141
-1.3019 1.9585 5.5259
Ru As Rh
2 2 2
Direct
0.6667 0.3333 0.3423
0.3333 0.6667 0.0962
0.0000 0.0000 0.0204
0.3333 0.6667 0.4994
0.6667 0.3333 0.8642
0.0000 0.0000 0.6088
```

* DOS(E_F): 3.1 states/eV/cell



Model y:
Below is an optimized crystal structure of AsRuRh, with properties calculated at the GGA-PBE level.

```
AsRuRh
1.0
4.1082 0.0000 0.0000
-2.0541 3.5578 0.0000
0.0000 0.0000 18.9064
As Rh Ru
6 6 6
Direct
0.0000 0.0000 0.0000
0.6667 0.3333 0.3333
0.6667 0.3333 0.8333
0.3333 0.6667 0.6667
0.3333 0.6667 0.1667
0.0000 0.0000 0.5000
0.0000 0.0000 0.7856
0.3333 0.6667 0.8811
0.6667 0.3333 0.1189
0.3333 0.6667 0.4522
0.6667 0.3333 0.5478
0.0000 0.0000 0.2144
0.6667 0.3333 0.7042
0.0000 0.0000 0.3708
0.3333 0.6667 0.0375
0.6667 0.3333 0.9625
0.3333 0.6667 0.2958
0.0000 0.0000 0.6292
```

* DOS(E_F): 14.4 states/eV/cell



Energies relative to the most stable structure are model w 30; model x 22; model y 0, reported in meV/atom.



Model w:
Below is an optimized crystal structure of AsRuRh, with properties calculated at the GGA-PBE level.

```
AsRuRh
1.0
4.5930 0.0000 0.0225
0.0000 10.2297 0.0000
-2.0995 0.0000 3.8176
Ru As Rh
4 4 4
Direct
0.8309 0.9264 0.7683
0.3309 0.0736 0.2683
0.8309 0.4264 0.2683
0.3309 0.5736 0.7683
0.0237 0.6231 0.1042
0.5237 0.3769 0.6042
0.5237 0.8769 0.1042
0.0237 0.1231 0.6042
0.1977 0.8262 0.4542
0.6977 0.6738 0.4542
0.1977 0.3262 0.9542
0.6977 0.1738 0.9542
```

* DOS(E_F): 11.8 states/eV/cell



Model x:
Below is an optimized crystal structure of AsRuRh, with properties calculated at the GGA-PBE level.

```
AsRuRh
1.0
-0.5927 -2.7241 -2.9590
1.1102 -3.8721 0.5495
-2.8317 -2.8851 0.4304
Rh As Ru
1 1 1
Direct
0.0000 0.0000 0.0000
0.7500 0.7500 0.7500
0.5000 0.5000 0.5000
```

* DOS(E_F): 3.6 states/eV/cell



Energies relative to the most stable structure are model w 69; model x 0, reported in meV/atom.